Entry 1:
{"formula": "FeB2W", "functional": "PBE", "state": "optimized geometry", "lattice": [[3.005, 0.000, 0.000], [0.000, 1.547, 4.055], [0.000, -1.547, 4.055]], "species": ["Fe", "B", "B", "W"], "frac_coords": [[0.000, 0.000, 0.000], [0.000, 0.695, 0.695], [0.500, 0.568, 0.568], [0.500, 0.284, 0.284]], "e_above_lowest_polymorph_mev_per_atom": 0, "magnetic_moment_mub_per_cell": 1.57, "delta_e_f_ev_per_atom": -0.3224, "e_tot_ev_per_atom": -9.015}

Entry 2:
{"formula": "Fe4B2W", "functional": "PBE", "state": "optimized geometry", "lattice": [[1.675, -6.039, 0.000], [1.675, 6.039, 0.000], [0.000, 0.000, 3.346]], "species": ["Fe", "Fe", "Fe", "Fe", "B", "B", "W"], "frac_coords": [[0.180, 0.820, 0.000], [0.320, 0.680, 0.500], [0.680, 0.320, 0.500], [0.820, 0.180, 0.000], [0.073, 0.927, 0.500], [0.927, 0.073, 0.500], [0.500, 0.500, 0.000]], "magnetic_moment_mub_per_cell": 0.04, "delta_e_f_ev_per_atom": -0.0994, "e_tot_ev_per_atom": -8.694}

Entry 3:
{"formula": "Fe5B2W", "functional": "PBE", "state": "optimized geometry", "lattice": [[-1.581, 3.276, 4.003], [1.581, -3.276, 4.003], [1.581, 3.276, -4.003]], "species": ["Fe", "Fe", "Fe", "Fe", "Fe", "B", "B", "W"], "frac_coords": [[0.000, 0.000, 0.000], [0.030, 0.343, 0.688], [0.345, 0.657, 0.688], [0.655, 0.343, 0.312], [0.970, 0.657, 0.312], [0.273, 0.273, 0.000], [0.727, 0.727, 0.000], [0.500, 0.000, 0.500]], "magnetic_moment_mub_per_cell": 9.04, "delta_e_f_ev_per_atom": -0.0551, "e_tot_ev_per_atom": -8.633}

Entry 4:
{"formula": "FeB3W2", "functional": "PBE", "state": "optimized geometry", "lattice": [[5.502, 0.000, 0.000], [0.000, 3.112, 0.000], [0.000, 0.000, 14.023]], "species": ["Fe", "Fe", "Fe", "Fe", "B", "B", "B", "B", "B", "B", "B", "B", "B", "B", "B", "B", "W", "W", "W", "W", "W", "W", "W", "W"], "frac_coords": [[0.024, 0.250, 0.063], [0.476, 0.750, 0.563], [0.524, 0.250, 0.437], [0.976, 0.750, 0.937], [0.018, 0.250, 0.304], [0.147, 0.750, 0.811], [0.247, 0.250, 0.537], [0.253, 0.750, 0.037], [0.353, 0.250, 0.311], [0.482, 0.750, 0.804], [0.518, 0.250, 0.196], [0.647, 0.750, 0.689], [0.747, 0.250, 0.963], [0.753, 0.750, 0.463], [0.853, 0.250, 0.189], [0.982, 0.750, 0.696], [0.140, 0.750, 0.419], [0.198, 0.750, 0.202], [0.302, 0.250, 0.702], [0.360, 0.250, 0.919], [0.640, 0.750, 0.081], [0.698, 0.750, 0.298], [0.802, 0.250, 0.798], [0.860, 0.250, 0.581]], "magnetic_moment_mub_per_cell": 3.76, "delta_e_f_ev_per_atom": -0.2578, "e_tot_ev_per_atom": -9.325}

Entry 5:
{"formula": "FeB2W", "functional": "PBE", "state": "optimized geometry", "lattice": [[6.031, 0.000, 0.000], [0.000, 3.036, 0.000], [0.000, 0.000, 8.129]], "species": ["Fe", "Fe", "Fe", "Fe", "B", "B", "B", "B", "B", "B", "B", "B", "W", "W", "W", "W"], "frac_coords": [[0.010, 0.250, 0.116], [0.490, 0.750, 0.616], [0.510, 0.250, 0.384], [0.990, 0.750, 0.884], [0.163, 0.750, 0.674], [0.240, 0.750, 0.079], [0.260, 0.250, 0.579], [0.337, 0.250, 0.174], [0.663, 0.750, 0.826], [0.740, 0.750, 0.421], [0.760, 0.250, 0.921], [0.837, 0.250, 0.326], [0.131, 0.750, 0.375], [0.369, 0.250, 0.875], [0.631, 0.750, 0.125], [0.869, 0.250, 0.625]], "e_above_lowest_polymorph_mev_per_atom": 9, "magnetic_moment_mub_per_cell": 4.67, "delta_e_f_ev_per_atom": -0.3132, "e_tot_ev_per_atom": -9.006}

Entry 6:
{"formula": "FeBW", "functional": "PBE", "state": "optimized geometry", "lattice": [[10.206, 0.000, 0.000], [0.000, 3.108, 0.000], [0.000, 0.000, 5.969]], "species": ["Fe", "Fe", "Fe", "Fe", "Fe", "Fe", "B", "B", "B", "B", "B", "B", "W", "W", "W", "W", "W", "W"], "frac_coords": [[0.123, 0.000, 0.068], [0.250, 0.000, 0.702], [0.377, 0.000, 0.068], [0.623, 0.000, 0.932], [0.750, 0.000, 0.298], [0.877, 0.000, 0.932], [0.088, 0.000, 0.449], [0.250, 0.500, 0.948], [0.412, 0.000, 0.449], [0.588, 0.000, 0.551], [0.750, 0.500, 0.052], [0.912, 0.000, 0.551], [0.045, 0.500, 0.731], [0.250, 0.500, 0.354], [0.455, 0.500, 0.731], [0.545, 0.500, 0.269], [0.750, 0.500, 0.646], [0.955, 0.500, 0.269]], "magnetic_moment_mub_per_cell": 6.94, "delta_e_f_ev_per_atom": -0.3329, "e_tot_ev_per_atom": -9.697}

Entry 7:
{"formula": "Fe2B2W", "functional": "PBE", "state": "optimized geometry", "lattice": [[3.778, 0.000, 0.000], [0.000, 2.954, 0.000], [-0.894, 0.000, 8.638]], "species": ["Fe", "Fe", "Fe", "Fe", "B", "B", "B", "B", "W", "W"], "frac_coords": [[0.148, 0.250, 0.106], [0.250, 0.750, 0.503], [0.750, 0.250, 0.497], [0.852, 0.750, 0.894], [0.208, 0.250, 0.335], [0.370, 0.750, 0.978], [0.630, 0.250, 0.022], [0.792, 0.750, 0.665], [0.323, 0.250, 0.755], [0.677, 0.750, 0.245]], "e_above_lowest_polymorph_mev_per_atom": 0, "magnetic_moment_mub_per_cell": 4.38, "delta_e_f_ev_per_atom": -0.2160, "e_tot_ev_per_atom": -8.863}

Entry 8:
{"formula": "FeB2W", "functional": "PBE", "state": "optimized geometry", "lattice": [[-1.741, 1.741, 7.056], [1.741, -1.741, 7.056], [1.741, 1.741, -7.056]], "species": ["Fe", "Fe", "B", "B", "B", "B", "W", "W"], "frac_coords": [[0.000, 0.000, 0.000], [0.750, 0.250, 0.500], [0.375, 0.162, 0.287], [0.838, 0.125, 0.213], [0.875, 0.088, 0.713], [0.912, 0.625, 0.787], [0.250, 0.750, 0.500], [0.500, 0.500, 0.000]], "e_above_lowest_polymorph_mev_per_atom": 822, "magnetic_moment_mub_per_cell": 0.00, "delta_e_f_ev_per_atom": 0.4991, "e_tot_ev_per_atom": -8.194}